## CrOsS2 (PBE)

Data for CrOsS2 after structural relaxation.

Cell lengths 3.5030, 3.5030, 21.5253 Å; angles 90.00, 90.00, 120.00 degrees
Space group R-3m (No. 166, hexagonal axes)
One atom of each set of equivalent atoms:
Cr 0.0000 0.0000 0.0000
Os 0.0000 0.0000 0.5000
S 0.0000 0.0000 0.1087

formation energy without anion corrections: 0.25 eV/atom
spin magnetization: 3.7 μB/f.u.
uncorrected energy: -7.024 eV/atom
excess energy over the best structure of this formula in the dataset: 387 meV per atom
density: 6.672 g/cm³



## Ba2MgTe3O12 (PBE)

Data for Ba2MgTe3O12 after structural relaxation.

Cell lengths 7.3957, 7.3957, 17.3295 Å; angles 90.00, 90.00, 120.00 degrees
Space group R-3m (No. 166, hexagonal axes)
One atom of each set of equivalent atoms:
Ba 0.0000 0.0000 0.1543
Mg 0.0000 0.0000 0.5000
Te 0.0000 0.5000 0.0000
O 0.0567 0.5284 0.1062
O 0.0729 0.5364 0.3605

formation energy without anion corrections: -1.65 eV/atom
spin magnetization: 0.0 μB/f.u.
uncorrected energy: -5.785 eV/atom
density: 5.302 g/cm³